VASP calculation (PBE-GGA) on La5TeSe5 after structural relaxation.

Output
Space group ... C2/m
E_form (uncorrected) ... -1.90 eV per atom
Density of states at the Fermi level ... 0.339 states/eV/atom

abc: 6.1673 7.5281 8.7465
angles: 106.63 90.00 114.18
Element x y z (fractional)
La1 0.1654 0.3308 0.8203
La2 0.8313 0.6627 0.6551
La3 0.5000 0.0000 0.0000
La4 0.8346 0.6692 0.1797
La5 0.1687 0.3373 0.3449
Te1 0.0000 0.0000 0.0000
Se1 0.3276 0.6552 0.1588
Se2 0.0000 0.0000 0.5000
Se3 0.6651 0.3302 0.3329
Se4 0.6724 0.3448 0.8412
Se5 0.3349 0.6698 0.6671

VASP calculation (PBE-GGA) on La6Te5Se after structural relaxation.

Output
Space group ... C2/m
E_form (uncorrected) ... -1.66 eV per atom
Density of states at the Fermi level ... 0.647 states/eV/atom

abc: 7.8617 7.8552 7.8658
angles: 60.04 80.39 70.46
Element x y z (fractional)
Te1 0.5000 0.1733 0.6533
Te2 0.0000 0.6652 0.6696
Te3 0.5000 0.5000 0.0000
Te4 0.5000 0.8267 0.3467
Te5 0.0000 0.3348 0.3304
Se1 0.0000 0.0000 0.0000
La1 0.2369 0.9214 0.6820
La2 0.7631 0.3966 0.6820
La3 0.7565 0.7636 0.0000
La4 0.7631 0.0786 0.3180
La5 0.2435 0.2364 0.0000
La6 0.2369 0.6034 0.3180